[1]
Material: Tb4Pm10Pr
Method: DFT, PBE-GGA
State: optimized geometry

Results
formation enthalpy at 0 K = 0.434 eV per atom
total DFT energy (no corrections) = -4.29 eV/atom
magnetization = 0.000 μB/atom

abc: 10.8804 8.9099 8.9099
angles: 68.11 52.37 52.37
Last column: nearest neighbours and their distance in Å.
Fractional coordinates of all 15 atoms:
Pm 0.0525 0.3429 0.8935  2 Pm 3.11-3.19, 1 Pr 3.14
Tb 0.7796 0.7781 0.6627  8 Pm 3.55-3.94
Pr 0.0000 0.0000 0.0000  8 Pm 3.14
Pm 0.7111 0.3429 0.8935  2 Pm 3.11-3.19, 1 Pr 3.14
Pm 0.7500 0.5000 0.5000  4 Pm 3.11
Tb 0.5577 0.6627 0.2219  8 Pm 3.55-3.94
Pm 0.6046 0.1065 0.3429  2 Pm 3.11-3.19, 1 Pr 3.14
Pm 0.0540 0.8935 0.6571  2 Pm 3.11-3.19, 1 Pr 3.14
Pm 0.3954 0.8935 0.6571  2 Pm 3.11-3.19, 1 Pr 3.14
Tb 0.4423 0.3373 0.7781  8 Pm 3.55-3.94
Tb 0.2204 0.2219 0.3373  8 Pm 3.55-3.94
Pm 0.9460 0.1065 0.3429  2 Pm 3.11-3.19, 1 Pr 3.14
Pm 0.2889 0.6571 0.1065  2 Pm 3.11-3.19, 1 Pr 3.14
Pm 0.9475 0.6571 0.1065  2 Pm 3.11-3.19, 1 Pr 3.14
Pm 0.2500 0.5000 0.5000  4 Pm 3.11

=====

[2]
Material: La2SiS
Method: DFT, PBE-GGA
State: optimized geometry

Results
relative energy among the computed polymorphs = 0.167 eV per atom
total DFT energy (no corrections) = -6.12 eV/atom
formation energy without anion corrections = -122.70 kJ/mol of atoms
magnetization = 0.000 μB/atom

abc: 4.2235 4.2235 7.7779
angles: 74.25 74.25 60.00
Last column: nearest neighbours and their distance in Å.
Fractional coordinates of all 4 atoms:
La 0.0807 0.0807 0.7578  3 Si 3.02, 3 S 3.06
La 0.2542 0.2542 0.2374  3 Si 3.01, 3 S 3.15
Si 0.6673 0.6673 0.9982  6 La 3.01-3.02
S 0.4978 0.4978 0.5065  6 La 3.06-3.15

=====

[3]
Material: PmP3
Method: DFT, PBE-GGA
State: optimized geometry

Results
relative energy among the computed polymorphs = 0.271 eV per atom
formation enthalpy at 0 K = -0.299 eV per atom
total DFT energy (no corrections) = -5.54 eV/atom
magnetization = 0.000 μB/atom

abc: 4.2104 4.2104 4.2104
angles: 90.00 90.00 90.00
Last column: nearest neighbours and their distance in Å.
Fractional coordinates of all 4 atoms:
P 0.0000 0.5000 0.5000  4 Pm 2.98, 8 P 2.98
P 0.5000 0.5000 0.0000  8 P 2.98, 4 Pm 2.98
P 0.5000 0.0000 0.5000  4 Pm 2.98, 8 P 2.98
Pm 0.0000 0.0000 0.0000  12 P 2.98

=====

[4]
Material: ZrAsRh2
Method: DFT, PBE-GGA
State: optimized geometry

Results
formation enthalpy at 0 K = -0.800 eV per atom
total DFT energy (no corrections) = -7.78 eV/atom
magnetization = 0.000 μB/atom

abc: 5.2806 7.0244 14.1666
angles: 90.00 90.00 90.00
Last column: nearest neighbours and their distance in Å.
Fractional coordinates of all 32 atoms:
Rh 0.7390 0.9530 0.0326  3 As 2.48-2.55, 1 Rh 2.77
Zr 0.5268 0.7500 0.8655  3 As 2.80-2.85, 6 Rh 2.90-2.98
Rh 0.7610 0.5470 0.5326  3 As 2.48-2.55, 1 Rh 2.77
As 0.2535 0.2500 0.3181  6 Rh 2.44-2.55
Rh 0.0347 0.9495 0.7831  3 As 2.44-2.53
As 0.4741 0.7500 0.4317  6 Rh 2.48-2.53
Rh 0.9653 0.4495 0.2169  3 As 2.44-2.53
As 0.0259 0.7500 0.9317  6 Rh 2.48-2.53
Rh 0.2610 0.0470 0.9674  3 As 2.48-2.55, 1 Rh 2.77
Rh 0.0347 0.5505 0.7831  3 As 2.44-2.53
Rh 0.2390 0.0470 0.4674  3 As 2.48-2.55, 1 Rh 2.77
Zr 0.7331 0.2500 0.8883  3 As 2.76-2.89, 8 Rh 2.92-3.08
Rh 0.9653 0.0505 0.2169  3 As 2.44-2.53
Zr 0.2669 0.7500 0.1117  3 As 2.76-2.89, 8 Rh 2.92-3.08
Rh 0.4653 0.9495 0.2831  3 As 2.44-2.53
As 0.5259 0.2500 0.5683  6 Rh 2.48-2.53
Rh 0.4653 0.5505 0.2831  3 As 2.44-2.53
Rh 0.7390 0.5470 0.0326  3 As 2.48-2.55, 1 Rh 2.77
Rh 0.2390 0.4530 0.4674  3 As 2.48-2.55, 1 Rh 2.77
Rh 0.2610 0.4530 0.9674  3 As 2.48-2.55, 1 Rh 2.77
Zr 0.9732 0.7500 0.3655  3 As 2.80-2.85, 6 Rh 2.90-2.98
Rh 0.5347 0.0505 0.7169  3 As 2.44-2.53
Zr 0.7669 0.2500 0.3883  3 As 2.76-2.89, 8 Rh 2.92-3.08
As 0.9741 0.2500 0.0683  6 Rh 2.48-2.53
As 0.7465 0.7500 0.6819  6 Rh 2.44-2.55
Rh 0.5347 0.4495 0.7169  3 As 2.44-2.53
As 0.2465 0.2500 0.8181  6 Rh 2.44-2.55
Zr 0.2331 0.7500 0.6117  3 As 2.76-2.89, 8 Rh 2.92-3.08
Zr 0.0268 0.2500 0.6345  3 As 2.80-2.85, 6 Rh 2.90-2.98
Zr 0.4732 0.2500 0.1345  3 As 2.80-2.85, 6 Rh 2.90-2.98
Rh 0.7610 0.9530 0.5326  3 As 2.48-2.55, 1 Rh 2.77
As 0.7535 0.7500 0.1819  6 Rh 2.44-2.55

=====

[5]
Material: Co2AgMo
Method: DFT, PBE-GGA
State: optimized geometry

Results
relative energy among the computed polymorphs = 0.439 eV per atom
formation enthalpy at 0 K = 0.724 eV per atom
total DFT energy (no corrections) = -6.25 eV/atom
magnetization = 0.000 μB/atom

abc: 6.6122 6.6122 5.4126
angles: 52.35 52.35 90.00
Last column: nearest neighbours and their distance in Å.
Fractional coordinates of all 8 atoms:
Ag 0.7500 0.2500 0.5000  4 Co 2.60, 2 Mo 2.73
Co 0.5905 0.1250 0.2500  2 Mo 2.29
Co 0.3750 0.4095 0.7500  2 Mo 2.29
Ag 0.0000 0.0000 0.0000  4 Co 2.60, 2 Mo 2.73
Mo 0.5000 0.5000 0.0000  4 Co 2.29
Co 0.1595 0.6250 0.2500  2 Mo 2.29
Co 0.8750 0.8405 0.7500  2 Mo 2.29
Mo 0.2500 0.7500 0.5000  4 Co 2.29

=====

[6]
Material: Ag5Se2F2
Method: DFT, PBE-GGA
State: optimized geometry

Results
relative energy among the computed polymorphs = 0.000 eV per atom
total DFT energy (no corrections) = -3.28 eV/atom
formation energy without anion corrections = -48.48 kJ/mol of atoms
magnetization = 0.000 μB/atom

abc: 5.4156 5.6120 7.6416
angles: 113.46 89.92 118.83
Last column: nearest neighbours and their distance in Å.
Fractional coordinates of all 9 atoms:
F 0.3725 0.7449 0.5585  3 Ag 2.25-2.47
Se 0.1687 0.3352 0.8220  6 Ag 2.56-2.84
Ag 0.1167 0.2327 0.4246  1 F 2.25
Ag 0.3490 0.7004 0.2245  2 F 2.46-2.47, 2 Se 2.73
Ag 0.8833 0.7673 0.5754  1 F 2.25
Ag 0.0000 0.0000 0.0000  2 Se 2.57
F 0.6275 0.2551 0.4415  3 Ag 2.25-2.47
Ag 0.6510 0.2996 0.7755  2 F 2.46-2.47, 2 Se 2.73
Se 0.8313 0.6648 0.1780  6 Ag 2.56-2.84

=====

[7]
Material: LiZrAgPb
Method: DFT, PBE-GGA
State: optimized geometry

Results
formation enthalpy at 0 K = -0.114 eV per atom
total DFT energy (no corrections) = -4.37 eV/atom
magnetization = 0.000 μB/atom

abc: 4.8951 4.8951 4.8951
angles: 60.00 60.00 60.00
Last column: nearest neighbours and their distance in Å.
Fractional coordinates of all 4 atoms:
Zr 0.0000 0.0000 0.0000  4 Pb 3.00, 4 Ag 3.00
Ag 0.2500 0.2500 0.2500  4 Zr 3.00, 4 Li 3.00
Pb 0.7500 0.7500 0.7500  4 Zr 3.00, 4 Li 3.00
Li 0.5000 0.5000 0.5000  4 Pb 3.00, 4 Ag 3.00

=====

[8]
Material: Tl2HgCl2
Method: DFT, PBE-GGA
State: optimized geometry

Results
relative energy among the computed polymorphs = 0.034 eV per atom
total DFT energy (no corrections) = -2.48 eV/atom
formation energy without anion corrections = -71.02 kJ/mol of atoms
magnetization = 0.000 μB/atom

abc: 5.3732 5.3732 7.7273
angles: 69.65 69.65 90.00
Last column: nearest neighbours and their distance in Å.
Fractional coordinates of all 5 atoms:
Cl 0.7500 0.2500 0.5000  4 Tl 3.04
Cl 0.2500 0.7500 0.5000  4 Tl 3.04
Tl 0.6445 0.6445 0.7111  4 Cl 3.04
Tl 0.3555 0.3555 0.2889  4 Cl 3.04
Hg 0.0000 0.0000 0.0000  8 Tl 4.27, 8 Cl 4.31

=====

[9]
Material: NaTbMgAg
Method: DFT, PBE-GGA
State: optimized geometry

Results
formation enthalpy at 0 K = 0.010 eV per atom
total DFT energy (no corrections) = -2.59 eV/atom
magnetization = 0.003 μB/atom

abc: 5.1128 5.1128 5.1128
angles: 60.00 60.00 60.00
Last column: nearest neighbours and their distance in Å.
Fractional coordinates of all 4 atoms:
Mg 0.5000 0.5000 0.5000  4 Na 3.13, 4 Ag 3.13
Tb 0.0000 0.0000 0.0000  4 Ag 3.13, 4 Na 3.13
Ag 0.2500 0.2500 0.2500  4 Mg 3.13, 4 Tb 3.13
Na 0.7500 0.7500 0.7500  4 Tb 3.13, 4 Mg 3.13

=====

[10]
Material: Ac4Pm2Dy
Method: DFT, PBE-GGA
State: optimized geometry

Results
formation enthalpy at 0 K = 0.247 eV per atom
total DFT energy (no corrections) = -4.11 eV/atom
magnetization = 0.000 μB/atom

abc: 7.3742 7.3742 12.3551
angles: 90.94 90.94 121.59
Last column: nearest neighbours and their distance in Å.
Fractional coordinates of all 14 atoms:
Ac 0.2061 0.7055 0.5977  1 Dy 3.60, 2 Pm 3.62-3.84, 4 Ac 3.76-3.80
Pm 0.7520 0.2480 0.7500  1 Dy 3.36, 1 Pm 3.37
Pm 0.5099 0.4901 0.2500  1 Pm 3.37, 6 Ac 3.56-3.64, 2 Dy 3.61
Ac 0.2945 0.7939 0.9023  1 Dy 3.60, 2 Pm 3.62-3.84, 4 Ac 3.76-3.80
Pm 0.4901 0.5099 0.7500  1 Pm 3.37, 6 Ac 3.56-3.64, 2 Dy 3.61
Ac 0.7055 0.2061 0.0977  1 Dy 3.60, 2 Pm 3.62-3.84, 4 Ac 3.76-3.80
Dy 0.0128 0.9872 0.7500  3 Pm 3.36-3.61, 6 Ac 3.56-3.63
Pm 0.2480 0.7520 0.2500  1 Dy 3.36, 1 Pm 3.37
Ac 0.7234 0.7797 0.5000  2 Dy 3.56-3.63, 2 Pm 3.56-3.64, 4 Ac 3.65-3.78
Dy 0.9872 0.0128 0.2500  3 Pm 3.36-3.61, 6 Ac 3.56-3.63
Ac 0.7939 0.2945 0.4023  1 Dy 3.60, 2 Pm 3.62-3.84, 4 Ac 3.76-3.80
Ac 0.2766 0.2203 0.5000  2 Dy 3.56-3.63, 2 Pm 3.56-3.64, 4 Ac 3.65-3.78
Ac 0.7797 0.7234 0.0000  2 Dy 3.56-3.63, 2 Pm 3.56-3.64, 4 Ac 3.65-3.78
Ac 0.2203 0.2766 0.0000  2 Dy 3.56-3.63, 2 Pm 3.56-3.64, 4 Ac 3.65-3.78

=====

[11]
Material: Mn3AlFe2
Method: DFT, PBE-GGA
State: optimized geometry

Results
formation enthalpy at 0 K = -0.039 eV per atom
total DFT energy (no corrections) = -8.07 eV/atom
magnetization = 0.931 μB/atom

abc: 3.9296 6.9345 5.9247
angles: 115.00 90.00 106.46
Last column: nearest neighbours and their distance in Å.
Fractional coordinates of all 12 atoms:
Mn 0.4130 0.8260 0.5121  4 Mn 2.35-2.38, 2 Fe 2.50-2.58, 2 Al 2.53
Al 0.0882 0.1764 0.2197  5 Fe 2.50-2.70, 4 Mn 2.52-2.54, 1 Al 2.63
Mn 0.0850 0.1701 0.7029  4 Mn 2.35-2.48, 3 Fe 2.48, 1 Al 2.54
Al 0.9118 0.8236 0.7803  5 Fe 2.50-2.70, 4 Mn 2.52-2.54, 1 Al 2.63
Mn 0.5870 0.1740 0.4879  4 Mn 2.35-2.38, 2 Fe 2.50-2.58, 2 Al 2.53
Mn 0.7474 0.4948 0.8847  4 Mn 2.38-2.48, 3 Fe 2.42-2.49, 1 Al 2.52
Fe 0.7436 0.4872 0.3630  3 Fe 2.44-2.51, 4 Mn 2.48-2.50, 3 Al 2.50-2.70
Fe 0.4196 0.8392 0.0478  4 Mn 2.42-2.58, 2 Fe 2.44, 2 Al 2.50
Fe 0.5804 0.1608 0.9522  4 Mn 2.42-2.58, 2 Fe 2.44, 2 Al 2.50
Mn 0.9150 0.8299 0.2971  4 Mn 2.35-2.48, 3 Fe 2.48, 1 Al 2.54
Fe 0.2564 0.5128 0.6370  3 Fe 2.44-2.51, 4 Mn 2.48-2.50, 3 Al 2.50-2.70
Mn 0.2526 0.5052 0.1153  4 Mn 2.38-2.48, 3 Fe 2.42-2.49, 1 Al 2.52

=====

[12]
Material: CrRe2Se
Method: DFT, PBE-GGA
State: optimized geometry

Results
relative energy among the computed polymorphs = 0.000 eV per atom
total DFT energy (no corrections) = -9.29 eV/atom
formation energy without anion corrections = 20.20 kJ/mol of atoms
magnetization = 0.000 μB/atom

abc: 2.9405 2.9405 6.6041
angles: 90.00 90.00 90.00
Last column: nearest neighbours and their distance in Å.
Fractional coordinates of all 4 atoms:
Se 0.0000 0.0000 0.5245  4 Cr 2.49, 4 Re 2.77
Re 0.0000 0.0000 0.9946  8 Re 2.67-2.94, 4 Cr 2.71
Cr 0.5000 0.5000 0.7325  4 Se 2.49, 4 Re 2.71
Re 0.5000 0.5000 0.2484  8 Re 2.67-2.94, 4 Se 2.77

=====

Which value of total DFT energy (no corrections) does entry 10 give? -4.11 eV/atom